(1)
# CoSi2As

A geometry-optimized CoSi2As structure (PBE, Alexandria).

Cell and atoms, written as POSCAR:
```
CoSi2As
1.0
2.576 -3.526 0.000
2.576 3.526 0.000
0.000 0.000 3.056
Co Si As
1 2 1
Direct
0.000 0.000 0.000
0.000 0.500 0.500
0.500 0.000 0.500
0.500 0.500 0.000
```

* energy relative to the elements, uncorrected: 0.36 eV per atom
* Fermi-level density of states: 3.02 states/eV/cell
* ρ: 5.683 g/cm³

(2)
# Co2SiAs

A geometry-optimized Co2SiAs structure (PBE, Alexandria).

Cell and atoms, written as POSCAR:
```
Co2SiAs
1.0
0.000 2.950 2.950
2.950 0.000 2.950
2.950 2.950 0.000
Co Si As
2 1 1
Direct
0.000 0.000 0.000
0.250 0.250 0.250
0.500 0.500 0.500
0.750 0.750 0.750
```

* energy relative to the elements, uncorrected: 0.32 eV per atom
* Fermi-level density of states: 6.20 states/eV/cell
* ρ: 7.141 g/cm³

(3)
# Co2SiAs

A geometry-optimized Co2SiAs structure (PBE, Alexandria).

Cell and atoms, written as POSCAR:
```
Co2SiAs
1.0
3.960 0.000 0.000
0.000 2.795 0.000
-1.953 0.000 4.417
Co Si As
2 1 1
Direct
0.000 0.000 0.000
0.000 0.500 0.500
0.500 0.000 0.500
0.500 0.500 0.000
```

* energy relative to the elements, uncorrected: -0.11 eV per atom
* Fermi-level density of states: 4.16 states/eV/cell
* ρ: 7.504 g/cm³

(4)
# CoSi2As

A geometry-optimized CoSi2As structure (PBE, Alexandria).

Cell and atoms, written as POSCAR:
```
CoSi2As
1.0
2.728 0.000 0.000
0.000 4.364 0.000
0.000 0.000 4.712
Co Si As
1 2 1
Direct
0.000 0.000 0.000
0.000 0.500 0.500
0.500 0.000 0.500
0.500 0.500 0.000
```

* energy relative to the elements, uncorrected: 0.41 eV per atom
* Fermi-level density of states: 3.02 states/eV/cell
* ρ: 5.625 g/cm³

(5)
# Co2SiAs

A geometry-optimized Co2SiAs structure (PBE, Alexandria).

Cell and atoms, written as POSCAR:
```
Co2SiAs
1.0
3.017 0.000 0.000
0.000 3.376 0.000
0.000 0.000 4.805
Co Si As
2 1 1
Direct
0.000 0.000 0.000
0.500 0.500 0.340
0.000 0.000 0.493
0.500 0.500 0.837
```

* energy relative to the elements, uncorrected: -0.23 eV per atom
* Fermi-level density of states: 3.06 states/eV/cell
* ρ: 7.493 g/cm³

(6)
# CoSiSnAs2

A geometry-optimized CoSiSnAs2 structure (PBE, Alexandria).

Cell and atoms, written as POSCAR:
```
CoSiSnAs2
1.0
5.250 0.000 0.000
0.000 5.250 0.000
0.000 0.000 4.717
Co Si Sn As
1 1 1 2
Direct
0.000 0.000 0.000
0.500 0.500 0.000
0.000 0.000 0.500
0.000 0.500 0.500
0.500 0.000 0.500
```

* energy relative to the elements, uncorrected: 1.37 eV per atom
* Fermi-level density of states: 9.22 states/eV/cell
* ρ: 4.541 g/cm³

(7)
# ZrCoSiAs2

A geometry-optimized ZrCoSiAs2 structure (PBE, Alexandria).

Cell and atoms, written as POSCAR:
```
ZrCoSiAs2
1.0
5.138 0.000 0.000
0.000 5.138 0.000
0.000 0.000 4.732
Zr Co Si As
1 1 1 2
Direct
0.000 0.000 0.000
0.000 0.000 0.500
0.500 0.500 0.500
0.000 0.500 0.000
0.500 0.000 0.000
```

* energy relative to the elements, uncorrected: 1.00 eV per atom
* Fermi-level density of states: 5.49 states/eV/cell
* ρ: 4.361 g/cm³

(8)
# Sm2Co12As7

A geometry-optimized Sm2Co12As7 structure (PBE, Alexandria).

Cell and atoms, written as POSCAR:
```
Sm2Co12As7
1.0
9.387 0.000 0.000
-4.693 8.129 0.000
0.000 0.000 3.766
Sm Co As
2 12 7
Direct
0.000 0.000 0.000
0.333 0.667 0.500
0.045 0.282 0.500
0.100 0.709 0.000
0.237 0.955 0.500
0.291 0.391 0.000
0.391 0.181 0.000
0.544 0.434 0.500
0.566 0.110 0.500
0.609 0.900 0.000
0.718 0.763 0.500
0.790 0.609 0.000
0.819 0.210 0.000
0.890 0.456 0.500
0.072 0.446 0.000
0.264 0.224 0.500
0.375 0.928 0.000
0.554 0.625 0.000
0.667 0.333 0.000
0.776 0.040 0.500
0.960 0.736 0.500
```

* calculated total energy: -136.793 eV/cell
* Fermi-level density of states: 13.10 states/eV/cell
* ρ: 8.854 g/cm³

(9)
# SmCo3As3

A geometry-optimized SmCo3As3 structure (PBE, Alexandria).

Cell and atoms, written as POSCAR:
```
SmCo3As3
1.0
6.358 0.000 0.000
0.000 6.358 0.000
0.000 0.000 6.358
Sm Co As
2 6 6
Direct
0.000 0.000 0.000
0.500 0.500 0.500
0.000 0.250 0.500
0.000 0.750 0.500
0.250 0.500 0.000
0.500 0.000 0.250
0.500 0.000 0.750
0.750 0.500 0.000
0.000 0.500 0.250
0.000 0.500 0.750
0.250 0.000 0.500
0.500 0.250 0.000
0.500 0.750 0.000
0.750 0.000 0.500
```

* offset from the most stable computed form: 195 meV per atom
* Fermi-level density of states: 14.52 states/eV/cell
* ρ: 7.131 g/cm³

(10)
# SmCoAs3

A geometry-optimized SmCoAs3 structure (PBE, Alexandria).

Cell and atoms, written as POSCAR:
```
SmCoAs3
1.0
12.128 0.000 0.000
0.000 5.590 0.000
0.000 0.000 5.541
Sm Co As
4 4 12
Direct
0.194 0.001 0.250
0.194 0.499 0.750
0.806 0.501 0.250
0.806 0.999 0.750
0.412 0.750 0.000
0.412 0.750 0.500
0.588 0.250 0.000
0.588 0.250 0.500
0.001 0.750 0.000
0.001 0.750 0.500
0.293 0.005 0.750
0.293 0.495 0.250
0.442 0.104 0.250
0.442 0.396 0.750
0.558 0.604 0.250
0.558 0.896 0.750
0.707 0.505 0.750
0.707 0.995 0.250
0.999 0.250 0.000
0.999 0.250 0.500
```

* calculated total energy: -116.795 eV/cell
* Fermi-level density of states: 11.63 states/eV/cell
* ρ: 7.675 g/cm³

(11)
# SmCo3As3

A geometry-optimized SmCo3As3 structure (PBE, Alexandria).

Cell and atoms, written as POSCAR:
```
SmCo3As3
1.0
3.330 1.922 6.648
-3.330 1.922 6.648
0.000 -3.845 6.648
Sm Co As
2 6 6
Direct
0.167 0.167 0.167
0.833 0.833 0.833
0.024 0.725 0.378
0.275 0.622 0.976
0.378 0.024 0.725
0.622 0.976 0.275
0.725 0.378 0.024
0.976 0.275 0.622
0.100 0.404 0.716
0.284 0.900 0.596
0.404 0.716 0.100
0.596 0.284 0.900
0.716 0.100 0.404
0.900 0.596 0.284
```

* offset from the most stable computed form: 0 meV per atom
* Fermi-level density of states: 13.54 states/eV/cell
* ρ: 7.179 g/cm³

(12)
# Co2SnAs

A geometry-optimized Co2SnAs structure (PBE, Alexandria).

Cell and atoms, written as POSCAR:
```
Co2SnAs
1.0
7.102 0.000 0.000
0.000 6.237 0.000
-0.016 0.000 5.400
Co Sn As
8 4 4
Direct
0.090 0.203 0.497
0.090 0.297 0.997
0.328 0.718 0.004
0.328 0.782 0.504
0.672 0.218 0.496
0.672 0.282 0.996
0.910 0.703 0.003
0.910 0.797 0.503
0.383 0.101 0.220
0.383 0.399 0.720
0.617 0.601 0.280
0.617 0.899 0.780
0.122 0.560 0.300
0.122 0.940 0.800
0.878 0.060 0.200
0.878 0.440 0.700
```

* offset from the most stable computed form: 0 meV per atom
* Fermi-level density of states: 4.86 states/eV/cell
* ρ: 8.650 g/cm³

(13)
# CoSnAs

A geometry-optimized CoSnAs structure (PBE, Alexandria).

Cell and atoms, written as POSCAR:
```
CoSnAs
1.0
3.102 0.000 0.000
0.000 5.564 0.000
0.000 0.000 6.265
Co Sn As
2 2 2
Direct
0.000 0.209 0.000
0.500 0.791 0.500
0.000 0.438 0.637
0.500 0.562 0.137
0.000 0.054 0.348
0.500 0.946 0.848
```

* offset from the most stable computed form: 41 meV per atom
* Fermi-level density of states: 4.44 states/eV/cell
* ρ: 7.756 g/cm³

(14)
# Co3SnAs

A geometry-optimized Co3SnAs structure (PBE, Alexandria).

Cell and atoms, written as POSCAR:
```
Co3SnAs
1.0
4.650 0.000 0.000
0.000 4.650 0.000
0.000 0.000 4.650
Co Sn As
3 1 1
Direct
0.000 0.000 0.500
0.000 0.500 0.000
0.500 0.000 0.000
0.000 0.000 0.000
0.500 0.500 0.500
```

* offset from the most stable computed form: 918 meV per atom
* Fermi-level density of states: 6.88 states/eV/cell
* ρ: 6.117 g/cm³

(15)
# Co2Sn2As

A geometry-optimized Co2Sn2As structure (PBE, Alexandria).

Cell and atoms, written as POSCAR:
```
Co2Sn2As
1.0
7.421 0.000 0.000
0.000 7.421 0.000
0.000 0.000 3.017
Co Sn As
4 4 2
Direct
0.141 0.359 0.000
0.359 0.859 0.000
0.641 0.141 0.000
0.859 0.641 0.000
0.156 0.656 0.500
0.344 0.156 0.500
0.656 0.844 0.500
0.844 0.344 0.500
0.000 0.000 0.000
0.500 0.500 0.000
```

* calculated total energy: -52.265 eV/cell
* Fermi-level density of states: 6.16 states/eV/cell
* ρ: 8.598 g/cm³

(16)
# CoSn2As

A geometry-optimized CoSn2As structure (PBE, Alexandria).

Cell and atoms, written as POSCAR:
```
CoSn2As
1.0
-3.013 3.013 5.950
3.013 -3.013 5.950
3.013 3.013 -5.950
Co Sn As
2 4 2
Direct
0.000 0.000 0.000
0.750 0.250 0.500
0.089 0.625 0.964
0.375 0.339 0.464
0.661 0.125 0.036
0.875 0.911 0.536
0.250 0.750 0.500
0.500 0.500 0.000
```

* calculated total energy: -37.070 eV/cell
* Fermi-level density of states: 6.83 states/eV/cell
* ρ: 5.706 g/cm³

(17)
# Co2SnAs

A geometry-optimized Co2SnAs structure (PBE, Alexandria).

Cell and atoms, written as POSCAR:
```
Co2SnAs
1.0
-2.092 2.092 7.815
2.092 -2.092 7.815
2.092 2.092 -7.815
Co Sn As
4 2 2
Direct
0.049 0.625 0.924
0.375 0.299 0.424
0.701 0.125 0.076
0.875 0.951 0.576
0.250 0.750 0.500
0.500 0.500 0.000
0.000 0.000 0.000
0.750 0.250 0.500
```

* offset from the most stable computed form: 431 meV per atom
* Fermi-level density of states: 7.50 states/eV/cell
* ρ: 7.563 g/cm³

(18)
# Co2SnAs

A geometry-optimized Co2SnAs structure (PBE, Alexandria).

Cell and atoms, written as POSCAR:
```
Co2SnAs
1.0
0.000 3.097 3.097
3.097 0.000 3.097
3.097 3.097 0.000
Co Sn As
2 1 1
Direct
0.250 0.250 0.250
0.750 0.750 0.750
0.000 0.000 0.000
0.500 0.500 0.500
```

* offset from the most stable computed form: 415 meV per atom
* Fermi-level density of states: 3.09 states/eV/cell
* ρ: 8.705 g/cm³

(19)
# Co2SnAs2

A geometry-optimized Co2SnAs2 structure (PBE, Alexandria).

Cell and atoms, written as POSCAR:
```
Co2SnAs2
1.0
7.314 0.000 0.000
0.000 7.314 0.000
0.000 0.000 2.958
Co Sn As
4 2 4
Direct
0.129 0.371 0.000
0.371 0.871 0.000
0.629 0.129 0.000
0.871 0.629 0.000
0.000 0.000 0.000
0.500 0.500 0.000
0.142 0.642 0.500
0.358 0.142 0.500
0.642 0.858 0.500
0.858 0.358 0.500
```

* calculated total energy: -53.976 eV/cell
* Fermi-level density of states: 10.28 states/eV/cell
* ρ: 8.112 g/cm³

(20)
# CoSnAs

A geometry-optimized CoSnAs structure (PBE, Alexandria).

Cell and atoms, written as POSCAR:
```
CoSnAs
1.0
6.304 0.000 0.000
0.000 6.084 0.000
-2.764 0.000 5.723
Co Sn As
4 4 4
Direct
0.197 0.022 0.198
0.197 0.478 0.698
0.803 0.522 0.302
0.803 0.978 0.802
0.356 0.642 0.123
0.356 0.858 0.623
0.644 0.142 0.377
0.644 0.358 0.877
0.148 0.141 0.838
0.148 0.359 0.338
0.852 0.641 0.662
0.852 0.859 0.162
```

* offset from the most stable computed form: 0 meV per atom
* Fermi-level density of states: 6.08 states/eV/cell
* ρ: 7.642 g/cm³